No. 1
Compound: HoBeNb
Source: the Open Quantum Materials Database
Functional: PBE
Structure: relaxed

Lattice parameters (Å, degrees): 4.385 4.385 4.385 60.00 60.00 60.00
Fractional positions:
Ho  0.000  0.000  0.000
Be  0.250  0.250  0.250
Nb  0.500  0.500  0.500

Computed properties:
For the energy above the most stable polymorph in this dataset, the calculation gives 0 meV per atom.

=====

No. 2
Compound: NdHoBe
Source: the Open Quantum Materials Database
Functional: PBE
Structure: relaxed

Lattice parameters (Å, degrees): 4.800 4.800 4.800 60.00 60.00 60.00
Fractional positions:
Nd  0.000  0.000  0.000
Ho  0.750  0.750  0.750
Be  0.500  0.500  0.500

=====

DFT total energy, respectively: -5.596, -3.511 eV/atom.